Entry 1:
Below is a crystal of BeFePt relaxed with PBEsol, with properties calculated at the meta-GGA SCAN level.

Properties
As for the calculated formation energy: -5.395 kcal/mol of atoms. The total energy is -93.378 eV for the cell shown. For the distance to the lowest polymorph of the same formula, the calculation gives 215 meV per atom.

```
BeFePt
1.0
2.653 0.000 0.000
-1.326 2.298 0.000
0.000 0.000 5.826
Fe Pt Be
1 1 1
Cartesian
0.000 1.532 4.013
1.326 0.766 1.833
0.000 0.000 5.806
```



Entry 2:
Below is a crystal of BeFeRe relaxed with PBEsol, with properties calculated at the meta-GGA SCAN level.

Properties
As for the calculated formation energy: 6.188 kcal/mol of atoms. The total energy is -92.776 eV for the cell shown. For the distance to the lowest polymorph of the same formula, the calculation gives 357 meV per atom.

```
BeFeRe
1.0
3.761 0.000 0.000
1.880 3.257 0.000
1.880 1.086 3.071
Be Fe Re
1 1 1
Cartesian
3.761 2.171 1.535
1.880 1.086 0.768
0.000 0.000 0.000
```



Entry 3:
Below is a crystal of Be2FeRe2 relaxed with PBEsol, with properties calculated at the meta-GGA SCAN level.

Properties
As for the calculated formation energy: -5.340 kcal/mol of atoms. The total energy is -340.379 eV for the cell shown.

```
Be2FeRe2
1.0
-1.566 2.627 0.757
-4.068 -3.192 2.663
2.988 0.346 4.978
Re Be Fe
4 4 2
Cartesian
0.520 0.983 4.219
-1.077 -0.562 6.279
-1.569 0.343 2.120
-3.166 -1.203 4.180
0.636 -0.257 2.208
1.085 -0.904 5.381
-1.716 -2.589 5.434
-2.165 -1.942 2.261
0.000 0.000 0.000
-0.540 -1.423 3.821
```



Number 1: N(E_F) 0.436 states/eV/atom. Number 2: N(E_F) 0.403 states/eV/atom. Number 3: N(E_F) 0.415 states/eV/atom.